15
Lattice="3.4198 1.9744 4.9183 -3.4198 1.9744 4.9183 0.0000 -3.9488 4.9183" Properties=species:S:1:pos:R:3 comment="CrNi8Rh6, optimized geometry, DFT PBE" sg="R-3 (148)" magmom_total_mub_per_fu=6.698 dos_ef_per_ev_fu=30.38 delta_e_f_ev_per_atom=0.2470 pbc="T T T"
Cr 0.0000 0.0000 0.0000
Ni -1.0756 -2.0722 6.9511
Ni -2.3324 -0.1046 7.8039
Ni 0.0000 0.0000 3.3761
Ni -1.2568 1.9676 6.9511
Ni 1.2568 -1.9676 7.8039
Ni 0.0000 0.0000 11.3790
Ni 2.3324 0.1046 6.9511
Ni 1.0756 2.0722 7.8039
Rh -1.6750 0.1560 5.4121
Rh 0.7024 -1.5286 5.4121
Rh -0.9727 -1.3726 9.3429
Rh 0.9727 1.3726 5.4121
Rh -0.7024 1.5286 9.3429
Rh 1.6750 -0.1560 9.3429



8
Lattice="-3.2911 3.2911 2.6258 3.2911 -3.2911 2.6258 3.2911 3.2911 -2.6258" Properties=species:S:1:pos:R:3 comment="CrNiRh2, optimized geometry, DFT PBE" sg="I-42d (122)" magmom_total_mub_per_fu=0.000 dos_ef_per_ev_fu=0.82 delta_e_f_ev_per_atom=0.3655 pbc="T T T"
Cr 0.0000 0.0000 0.0000
Cr 0.0000 3.2911 1.3129
Ni 3.2911 0.0000 1.3129
Ni 0.0000 0.0000 2.6258
Rh 4.9366 1.4330 -0.6565
Rh 1.4330 1.6455 0.6565
Rh -1.6455 1.8580 1.9694
Rh 1.8580 1.6455 3.2823



8
Lattice="3.7175 0.0000 0.0000 0.0000 3.7520 0.0000 0.0000 0.0000 7.2408" Properties=species:S:1:pos:R:3 comment="Cr2Ni3Rh3, optimized geometry, DFT PBE" polymorph_energy_mev_per_atom=0.0 sg="Pmmm (47)" magmom_total_mub_per_fu=2.013 dos_ef_per_ev_fu=9.34 delta_e_f_ev_per_atom=-0.0583 pbc="T T T"
Cr 0.0000 0.0000 1.7866
Cr 0.0000 0.0000 5.4542
Ni 0.0000 1.8760 0.0000
Ni 1.8588 1.8760 1.7916
Ni 1.8588 1.8760 5.4492
Rh 0.0000 1.8760 3.6204
Rh 1.8588 0.0000 0.0000
Rh 1.8588 0.0000 3.6204



12
Lattice="5.4810 -1.8620 0.0000 5.4810 1.8620 0.0000 -3.6258 0.0000 7.0591" Properties=species:S:1:pos:R:3 comment="Cr5Ni5Rh2, optimized geometry, DFT PBE" sg="C2/m (12)" magmom_total_mub_per_fu=5.869 dos_ef_per_ev_fu=12.64 delta_e_f_ev_per_atom=0.0163 pbc="T T T"
Cr 0.0000 0.0000 0.0000
Cr -1.8922 0.0000 5.3464
Cr 1.7780 0.0000 1.7042
Cr 5.5582 0.0000 5.3549
Cr 9.2284 0.0000 1.7127
Ni 3.6334 0.0000 0.0061
Ni 1.8845 0.0000 5.3596
Ni 3.6681 0.0000 3.5296
Ni 5.4517 0.0000 1.6995
Ni 3.7029 0.0000 7.0531
Rh -0.0390 0.0000 3.5732
Rh 7.3752 0.0000 3.4859